# 1
The following is a GGA-PBE calculation of a relaxed La3NdTm crystal, from the Alexandria database.

Lattice parameters (Å, degrees): 15.6830 13.7159 6.7393 90.00 104.85 90.00
Space group C2/c (No. 15)
Asymmetric unit:
La1 0.0979 0.1815 0.4408 x8
La2 0.2008 0.4390 0.6528 x8
La3 0.2015 0.3106 0.1554 x8
Nd1 0.0000 0.3079 0.7500 x4
Nd2 0.0000 0.4338 0.2500 x4
Tm1 0.0976 0.0692 0.9417 x8

**Excess energy over the best structure of this formula in the dataset**: 0 kJ/mol of formula units
**ΔH_f (0 K)**: 0.0542 eV per atom
**Final energy**: -190.01 eV for the cell shown

# 2
The following is a GGA-PBE calculation of a relaxed TiTlAs2 crystal, from the Alexandria database.

Lattice parameters (Å, degrees): 3.7832 3.7832 22.1189 90.00 90.00 120.00
Space group R-3m (No. 166, hexagonal axes)
Asymmetric unit:
Ti1 0.0000 0.0000 0.0000 x3
Tl1 0.0000 0.0000 0.5000 x3
As1 0.0000 0.0000 0.2695 x6

**Excess energy over the best structure of this formula in the dataset**: 0 kJ/mol of formula units
**ΔH_f (0 K)**: -0.3408 eV per atom
**Final energy**: -62.77 eV for the cell shown

# 3
The following is a GGA-PBE calculation of a relaxed Tc7Ni crystal, from the Alexandria database.

Lattice parameters (Å, degrees): 7.6908 7.6908 7.6908 90.00 90.00 90.00
Space group Fm-3m (No. 225)
Asymmetric unit:
Tc1 0.0000 0.0000 0.0000 x4
Tc2 0.0000 0.2500 0.2500 x24
Ni1 0.0000 0.0000 0.5000 x4

**ΔH_f (0 K)**: 0.0764 eV per atom
**Final energy**: -310.93 eV for the cell shown

# 4
The following is a GGA-PBE calculation of a relaxed AsPdWC2 crystal, from the Alexandria database.

Lattice parameters (Å, degrees): 3.9662 3.9662 5.3686 90.00 90.00 90.00
Space group P4/mmm (No. 123)
Asymmetric unit:
As1 0.0000 0.0000 0.0000 x1
Pd1 0.5000 0.5000 0.0000 x1
W1 0.5000 0.5000 0.5000 x1
C1 0.0000 0.5000 0.5000 x2

**ΔH_f (0 K)**: 1.5330 eV per atom
**Final energy**: -33.58 eV for the cell shown

# 5
The following is a GGA-PBE calculation of a relaxed BaMnBe2 crystal, from the Alexandria database.

Lattice parameters (Å, degrees): 3.1106 3.1106 7.1661 90.00 90.00 90.00
Space group P4/mmm (No. 123)
Asymmetric unit:
Ba1 0.0000 0.0000 0.0000 x1
Mn1 0.0000 0.0000 0.5000 x1
Be1 0.5000 0.5000 0.3526 x2

**Excess energy over the best structure of this formula in the dataset**: 69 kJ/mol of formula units
**ΔH_f (0 K)**: 0.4738 eV per atom
**Final energy**: -16.65 eV for the cell shown

# 6
The following is a GGA-PBE calculation of a relaxed Sm2PaSn9 crystal, from the Alexandria database.

Lattice parameters (Å, degrees): 4.6910 4.6910 14.2741 90.00 90.00 90.00
Space group P4/mmm (No. 123)
Asymmetric unit:
Sm1 0.0000 0.0000 0.1768 x2
Pa1 0.0000 0.0000 0.5000 x1
Sn1 0.0000 0.5000 0.0000 x2
Sn2 0.0000 0.5000 0.3391 x4
Sn3 0.5000 0.5000 0.1668 x2
Sn4 0.5000 0.5000 0.5000 x1

**ΔH_f (0 K)**: -0.4118 eV per atom
**Final energy**: -59.90 eV for the cell shown

# 7
The following is a GGA-PBE calculation of a relaxed AlOs crystal, from the Alexandria database.

Lattice parameters (Å, degrees): 4.2436 4.2436 4.9088 90.00 90.00 120.00
Space group P6_3/mmc (No. 194)
Asymmetric unit:
Al1 0.3333 0.6667 0.2500 x2
Os1 0.3333 0.6667 0.7500 x2

**ΔH_f (0 K)**: 0.8316 eV per atom
**Final energy**: -26.62 eV for the cell shown

# 8
The following is a GGA-PBE calculation of a relaxed BaSi2Tc crystal, from the Alexandria database.

Lattice parameters (Å, degrees): 6.2534 7.8422 3.5044 90.00 106.21 90.00
Space group C2/m (No. 12)
Asymmetric unit:
Ba1 0.0000 0.0000 0.0000 x2
Si1 0.2500 0.2500 0.5000 x4
Tc1 0.0000 0.5000 0.0000 x2

**Excess energy over the best structure of this formula in the dataset**: 415 kJ/mol of formula units
**Formation energy from raw total energies**: 0.8068 eV per atom
**Final energy**: -39.82 eV for the cell shown

# 9
The following is a GGA-PBE calculation of a relaxed SrLi2Tl crystal, from the Alexandria database.

Lattice parameters (Å, degrees): 4.4046 5.4585 9.1420 90.00 90.00 90.00
Space group Imm2 (No. 44)
Asymmetric unit:
Sr1 0.0000 0.0000 0.0000 x2
Li1 0.0000 0.0000 0.5022 x2
Li2 0.0000 0.5000 0.2176 x2
Tl1 0.0000 0.5000 0.7783 x2

**ΔH_f (0 K)**: -0.1652 eV per atom
**Final energy**: -17.07 eV for the cell shown

# 10
The following is a GGA-PBE calculation of a relaxed CsFeCl2 crystal, from the Alexandria database.

Lattice parameters (Å, degrees): 7.6565 7.6565 7.9112 90.00 90.00 90.00
Space group I-42d (No. 122)
Asymmetric unit:
Cs1 0.0000 0.0000 0.0000 x4
Fe1 0.0000 0.0000 0.5000 x4
Cl1 0.1320 0.2500 0.6250 x8

**Excess energy over the best structure of this formula in the dataset**: 0 kJ/mol of formula units
**Formation energy from raw total energies**: -0.8654 eV per atom
**Final energy**: -65.88 eV for the cell shown

# 11
The following is a GGA-PBE calculation of a relaxed KTaNi2 crystal, from the Alexandria database.

Lattice parameters (Å, degrees): 3.1553 3.1553 7.8461 90.00 90.00 90.00
Space group P4/mmm (No. 123)
Asymmetric unit:
K1 0.0000 0.0000 0.0000 x1
Ta1 0.0000 0.0000 0.5000 x1
Ni1 0.5000 0.5000 0.3367 x2

**Excess energy over the best structure of this formula in the dataset**: 0 kJ/mol of formula units
**ΔH_f (0 K)**: 0.1802 eV per atom
**Final energy**: -23.79 eV for the cell shown

# 12
The following is a GGA-PBE calculation of a relaxed BaCuB2 crystal, from the Alexandria database.

Lattice parameters (Å, degrees): 6.5212 6.5212 6.5212 90.00 90.00 90.00
Space group Fm-3m (No. 225)
Asymmetric unit:
Ba1 0.0000 0.0000 0.0000 x4
Cu1 0.0000 0.0000 0.5000 x4
B1 0.2500 0.2500 0.2500 x8

**Excess energy over the best structure of this formula in the dataset**: 322 kJ/mol of formula units
**ΔH_f (0 K)**: 1.4320 eV per atom
**Final energy**: -54.58 eV for the cell shown